This record from OQMD via LeMat-Bulk describes crystalline KPrTe at its relaxed geometry. The functional is PBE-GGA.

Structure (CIF):
```
data_KPrTe
_chemical_formula_sum 'K1 Pr1 Te1'
_cell_length_a 5.439
_cell_length_b 5.439
_cell_length_c 5.439
_cell_angle_alpha 60.00
_cell_angle_beta 60.00
_cell_angle_gamma 60.00
_space_group_name_H-M_alt 'P 1'
_space_group_IT_number 1
_space_group_name_Hall 'P 1'
loop_
_atom_site_label
_atom_site_fract_x
_atom_site_fract_y
_atom_site_fract_z
K1 0.000 0.000 0.000
Pr1 0.500 0.500 0.500
Te1 0.250 0.250 0.250
```

Results
Offset from the most stable computed form: 0.0 meV per atom
Space group: F-43m


This record from OQMD via LeMat-Bulk describes crystalline RbZnI3 at its relaxed geometry. The functional is PBE-GGA.

Structure (CIF):
```
data_RbZnI3
_chemical_formula_sum 'Rb2 Zn2 I6'
_cell_length_a 8.008
_cell_length_b 6.856
_cell_length_c 9.475
_cell_angle_alpha 90.00
_cell_angle_beta 112.88
_cell_angle_gamma 90.00
_space_group_name_H-M_alt 'P 1'
_space_group_IT_number 1
_space_group_name_Hall 'P 1'
loop_
_atom_site_label
_atom_site_fract_x
_atom_site_fract_y
_atom_site_fract_z
Rb1 0.041 0.000 0.240
Rb2 0.959 0.500 0.760
Zn1 0.485 0.098 0.859
Zn2 0.515 0.598 0.141
I1 0.173 0.993 0.654
I2 0.222 0.505 0.184
I3 0.488 0.495 0.858
I4 0.512 0.995 0.142
I5 0.778 0.005 0.816
I6 0.827 0.493 0.346
```

Results
Space group: P2_1


no.,volume (Å³/cell),calculated total energy (eV/atom)
1,114,-3.4888
2,479,-2.3415